12
Lattice="2.7704 -4.8699 0.0000 2.7704 4.8699 0.0000 -1.6489 0.0000 5.0274" Properties=species:S:1:pos:R:3 comment="Li3Er2FeO6 (PBE+U, optimized geometry)" total_energy_ev_per_cell=-79.2 pbc="T T T"
Li 0.0000 0.0000 0.0000
Li 2.7704 1.2343 0.0000
Li 2.7704 -1.2343 0.0000
Er 1.9459 3.2456 2.5137
Er 1.9459 -3.2456 2.5137
Fe 1.9459 0.0000 2.5137
O 1.1176 1.4670 1.3846
O 0.1291 0.0000 3.7348
O 1.1176 -1.4670 1.3846
O 2.7743 1.4670 3.6428
O 3.7627 0.0000 1.2927
O 2.7743 -1.4670 3.6428